SbPb2Br | Alexandria via LeMat-Bulk | GGA-PBE | relaxed; formation energy (no corrections) = -0.092 eV per atom; crystal system = tetragonal
1.0
-1.896 3.128 1.007
-1.691 0.068 -3.395
-6.530 -4.974 3.153
Pb Sb Br
2 1 1
Direct
0.000 0.000 0.996
0.500 0.500 0.258
0.000 0.000 0.456
0.500 0.500 0.790